No. 1
LaPr3Cd4 | PBE-GGA | relaxed

Results
ΔE_f (meV per atom): -321.1
Crystal system: orthorhombic
Space-group type: Pmma
VASP energy (eV per cell): -50.99

a b c (Å): 10.9926 7.8358 5.4932
angles (deg): 90.00 90.00 90.00
Fractional positions:
La (0.0000, 0.0000, 0.0000)
La (0.5000, 0.0000, 0.0000)
Pr (0.0000, 0.5000, 0.0000)
Pr (0.2500, 0.0000, 0.4972)
Pr (0.2500, 0.5000, 0.4972)
Pr (0.5000, 0.5000, 0.0000)
Pr (0.7500, 0.0000, 0.5028)
Pr (0.7500, 0.5000, 0.5028)
Cd (0.0000, 0.2530, 0.5000)
Cd (0.0000, 0.7470, 0.5000)
Cd (0.2500, 0.2531, 0.9968)
Cd (0.2500, 0.7469, 0.9968)
Cd (0.5000, 0.2530, 0.5000)
Cd (0.5000, 0.7470, 0.5000)
Cd (0.7500, 0.2531, 0.0032)
Cd (0.7500, 0.7469, 0.0032)



No. 2
La4Pr4Cd | PBE-GGA | relaxed

Results
ΔE_f (meV per atom): -25.4
Crystal system: tetragonal
Space-group type: I4/mmm
VASP energy (eV per cell): -39.97

a b c (Å): 8.1898 8.1898 8.1898
angles (deg): 95.71 95.71 143.24
Fractional positions:
La (0.1653, 0.1653, 0.3306)
La (0.1653, 0.8347, 0.0000)
La (0.8347, 0.1653, 0.0000)
La (0.8347, 0.8347, 0.6694)
Pr (0.1728, 0.5000, 0.6728)
Pr (0.5000, 0.1728, 0.6728)
Pr (0.5000, 0.8272, 0.3272)
Pr (0.8272, 0.5000, 0.3272)
Cd (0.5000, 0.5000, 0.0000)



No. 3
LaPrCd | PBE-GGA | relaxed

Results
ΔE_f (meV per atom): -193.7
Crystal system: orthorhombic
Space-group type: Pnma
VASP energy (eV per cell): -44.81

a b c (Å): 7.0723 5.4663 10.0041
angles (deg): 90.00 90.00 90.00
Fractional positions:
La (0.0137, 0.2500, 0.2016)
La (0.4863, 0.7500, 0.7016)
La (0.5137, 0.2500, 0.2984)
La (0.9863, 0.7500, 0.7984)
Pr (0.1851, 0.2500, 0.5744)
Pr (0.3149, 0.7500, 0.0744)
Pr (0.6851, 0.2500, 0.9256)
Pr (0.8149, 0.7500, 0.4256)
Cd (0.2237, 0.2500, 0.8989)
Cd (0.2763, 0.7500, 0.3989)
Cd (0.7237, 0.2500, 0.6011)
Cd (0.7763, 0.7500, 0.1011)



No. 4
LaPr5Cd4 | PBE-GGA | relaxed

Results
ΔE_f (meV per atom): -251.1
Crystal system: tetragonal
Space-group type: P4/mmm
VASP energy (eV per cell): -35.00

a b c (Å): 3.8536 3.8536 20.6987
angles (deg): 90.00 90.00 90.00
Fractional positions:
La (0.0000, 0.0000, 0.0000)
Pr (0.5000, 0.5000, 0.1212)
Pr (0.5000, 0.5000, 0.3109)
Pr (0.5000, 0.5000, 0.5000)
Pr (0.5000, 0.5000, 0.6891)
Pr (0.5000, 0.5000, 0.8788)
Cd (0.0000, 0.0000, 0.2143)
Cd (0.0000, 0.0000, 0.4050)
Cd (0.0000, 0.0000, 0.5950)
Cd (0.0000, 0.0000, 0.7857)